(1)
# Ac8Ga3TcI4, relaxed, DFT PBE-GGA
# Formation energy without anion corrections (eV/atom): -0.6752
# Space group: R-3m, No. 166
# E (eV/atom): -4.33
data_Ac8Ga3TcI4
_cell_length_a 9.917
_cell_length_b 9.917
_cell_length_c 9.917
_cell_angle_alpha 55.42
_cell_angle_beta 55.42
_cell_angle_gamma 55.42
_space_group_name_H-M_alt 'P 1'
_space_group_IT_number 1
_space_group_name_Hall 'P 1'
loop_
_atom_site_label
_atom_site_fract_x
_atom_site_fract_y
_atom_site_fract_z
Ac1 0.236 0.236 0.236
Ac2 0.250 0.721 0.721
Ac3 0.279 0.279 0.750
Ac4 0.279 0.750 0.279
Ac5 0.721 0.250 0.721
Ac6 0.721 0.721 0.250
Ac7 0.750 0.279 0.279
Ac8 0.764 0.764 0.764
Ga1 0.000 0.000 0.500
Ga2 0.000 0.500 0.000
Ga3 0.500 0.000 0.000
Tc1 0.500 0.500 0.500
I1 0.000 0.000 0.000
I2 0.000 0.500 0.500
I3 0.500 0.000 0.500
I4 0.500 0.500 0.000

***

(2)
# Tb2DyHoBi5, relaxed, DFT PBE-GGA
# ΔE_f (eV per atom): 0.002
# Space group: P4/mmm, No. 123
# E (eV/atom): -4.20
data_Tb2DyHoBi5
_cell_length_a 5.390
_cell_length_b 5.390
_cell_length_c 11.868
_cell_angle_alpha 90.00
_cell_angle_beta 90.00
_cell_angle_gamma 90.00
_space_group_name_H-M_alt 'P 1'
_space_group_IT_number 1
_space_group_name_Hall 'P 1'
loop_
_atom_site_label
_atom_site_fract_x
_atom_site_fract_y
_atom_site_fract_z
Tb1 0.000 0.000 0.231
Tb2 0.000 0.000 0.769
Dy1 0.500 0.500 0.500
Ho1 0.500 0.500 0.000
Bi1 0.000 0.000 0.500
Bi2 0.000 0.500 0.000
Bi3 0.500 0.000 0.000
Bi4 0.500 0.500 0.254
Bi5 0.500 0.500 0.746

***

(3)
# Na12TlIn2, relaxed, DFT PBE-GGA
# ΔE_f (eV per atom): 0.087
# Space group: P4/nbm, No. 125
# E (eV/atom): -1.49
data_Na12TlIn2
_cell_length_a 6.676
_cell_length_b 6.676
_cell_length_c 24.350
_cell_angle_alpha 90.00
_cell_angle_beta 90.00
_cell_angle_gamma 90.00
_space_group_name_H-M_alt 'P 1'
_space_group_IT_number 1
_space_group_name_Hall 'P 1'
loop_
_atom_site_label
_atom_site_fract_x
_atom_site_fract_y
_atom_site_fract_z
Na1 0.000 0.000 0.092
Na2 0.000 0.000 0.908
Na3 0.000 0.500 0.092
Na4 0.000 0.500 0.908
Na5 0.070 0.570 0.434
Na6 0.070 0.930 0.566
Na7 0.250 0.250 0.196
Na8 0.250 0.250 0.321
Na9 0.250 0.250 0.679
Na10 0.250 0.250 0.804
Na11 0.430 0.570 0.566
Na12 0.430 0.930 0.434
Na13 0.500 0.000 0.092
Na14 0.500 0.000 0.908
Na15 0.500 0.500 0.092
Na16 0.500 0.500 0.908
Na17 0.570 0.070 0.566
Na18 0.570 0.430 0.434
Na19 0.750 0.750 0.196
Na20 0.750 0.750 0.321
Na21 0.750 0.750 0.679
Na22 0.750 0.750 0.804
Na23 0.930 0.070 0.434
Na24 0.930 0.430 0.566
Tl1 0.250 0.750 0.000
Tl2 0.750 0.250 0.000
In1 0.250 0.750 0.206
In2 0.250 0.750 0.794
In3 0.750 0.250 0.206
In4 0.750 0.250 0.794

***

(4)
# Ac2H6RuRh, relaxed, DFT PBE-GGA
# Space group: Fmm2, No. 42
# E (eV/atom): -4.97
data_Ac2H6RuRh
_cell_length_a 5.577
_cell_length_b 5.566
_cell_length_c 5.410
_cell_angle_alpha 61.05
_cell_angle_beta 60.85
_cell_angle_gamma 58.10
_space_group_name_H-M_alt 'P 1'
_space_group_IT_number 1
_space_group_name_Hall 'P 1'
loop_
_atom_site_label
_atom_site_fract_x
_atom_site_fract_y
_atom_site_fract_z
Ac1 0.000 0.000 0.500
Ac2 0.500 0.500 0.000
H1 0.004 0.494 0.996
H2 0.005 0.493 0.507
H3 0.015 0.015 0.985
H4 0.458 0.458 0.542
H5 0.493 0.005 0.995
H6 0.494 0.004 0.506
Ru1 0.241 0.241 0.759
Rh1 0.771 0.771 0.229

***

(5)
# KPr2Pb3Se6, relaxed, DFT PBE-GGA
# Formation energy without anion corrections (eV/atom): -1.1027
# Space group: C2/m, No. 12
# E (eV/atom): -4.66
data_KPr2Pb3Se6
_cell_length_a 9.792
_cell_length_b 9.792
_cell_length_c 8.737
_cell_angle_alpha 101.90
_cell_angle_beta 101.90
_cell_angle_gamma 26.43
_space_group_name_H-M_alt 'P 1'
_space_group_IT_number 1
_space_group_name_Hall 'P 1'
loop_
_atom_site_label
_atom_site_fract_x
_atom_site_fract_y
_atom_site_fract_z
K1 0.000 0.000 0.000
Pr1 0.333 0.333 0.667
Pr2 0.667 0.667 0.333
Pb1 0.000 0.000 0.500
Pb2 0.340 0.340 0.149
Pb3 0.660 0.660 0.851
Se1 0.169 0.169 0.575
Se2 0.177 0.177 0.098
Se3 0.490 0.490 0.734
Se4 0.510 0.510 0.266
Se5 0.823 0.823 0.902
Se6 0.831 0.831 0.425

***

Question: Among the records above, which one has the lowest E?
Answer: Ac2H6RuRh